The following is a DFT calculation (GGA-PBE) of Ba3Pt2Au after structural relaxation.

ΔH_f (0 K) (eV/atom): -0.694
V (Å³ per cell): 180
Crystal system: orthorhombic

abc: 8.731 8.731 3.921
angles: 90.00 90.00 142.85
Sites, in units of the cell vectors:
Ba1 0.000 0.000 0.000
Ba2 0.326 0.674 0.000
Ba3 0.674 0.326 0.000
Pt1 0.163 0.837 0.500
Pt2 0.837 0.163 0.500
Au1 0.500 0.500 0.500



The following is a DFT calculation (GGA-PBE) of Ba4PtAu after structural relaxation.

ΔH_f (0 K) (eV/atom): 0.496
V (Å³ per cell): 226
Excess energy over the best structure of this formula in the dataset (eV per atom): 1.0550
Crystal system: cubic

abc: 6.837 6.837 6.837
angles: 60.00 60.00 60.00
Sites, in units of the cell vectors:
Ba1 0.124 0.124 0.124
Ba2 0.124 0.124 0.627
Ba3 0.124 0.627 0.124
Ba4 0.627 0.124 0.124
Pt1 0.750 0.750 0.750
Au1 0.500 0.500 0.500